(1)
Below is SeBr2O after structural relaxation, with properties calculated at the PBE level.

The space group is Fm-3m (No. 225) and the conventional cell measures 6.6515, 6.6515 and 6.6515 Å, with angles of 90.00, 90.00 and 90.00 degrees. Symmetry generates all atoms from Se at (0.0000, 0.0000, 0.0000), Br at (0.2500, 0.2500, 0.2500) and O at (0.0000, 0.0000, 0.5000).

The formation energy from raw total energies comes out at 997 meV per atom.

(2)
Below is CsSrZn3 after structural relaxation, with properties calculated at the PBE level.

The space group is Pm-3m (No. 221) and the conventional cell measures 6.1398, 6.1398 and 6.1398 Å, with angles of 90.00, 90.00 and 90.00 degrees. Symmetry generates all atoms from Cs at (0.0000, 0.0000, 0.0000), Sr at (0.5000, 0.5000, 0.5000) and Zn at (0.0000, 0.0000, 0.5000).

As for the formation energy: 0.644 eV/atom. As for the excess energy over the best structure of this formula in the dataset: 257 meV/atom.

| no. | total DFT energy (no corrections) (eV per formula unit) |
| --- | --- |
| 1 | -7.8 |
| 2 | -3.1 |